[1]
Computed, not measured: a relaxed ScBiP2O crystal at the PBE-GGA level of DFT.

## Properties
total magnetization	0.00	μB/cell
offset from the most stable computed form	0.000	eV per atom
VASP energy	-5.66	eV per atom
formation energy (no corrections)	-0.461	eV per atom

Cell lengths 5.1845, 5.1845, 3.8916 Å; angles 90.00, 90.00, 90.00 degrees
Space group P4/mmm (No. 123)
Symmetry-distinct sites (fractional):
Sc 0.0000 0.0000 0.0000
Bi 0.5000 0.5000 0.5000
P 0.0000 0.5000 0.0000
O 0.0000 0.0000 0.5000


[2]
Computed, not measured: a relaxed BaAlPt2 crystal at the PBE-GGA level of DFT.

## Properties
formation energy	-0.132	eV per atom
total magnetization	0.00	μB/cell
VASP energy	-4.57	eV per atom

Cell lengths 4.2511, 4.2511, 9.6282 Å; angles 90.00, 90.00, 90.00 degrees
Space group I-4m2 (No. 119)
Symmetry-distinct sites (fractional):
Ba 0.0000 0.0000 0.0000
Al 0.0000 0.5000 0.2500
Pt 0.0000 0.0000 0.5000
Pt 0.0000 0.5000 0.7500


Repeat the first record exactly.
Computed, not measured: a relaxed ScBiP2O crystal at the PBE-GGA level of DFT.

## Properties
total magnetization	0.00	μB/cell
offset from the most stable computed form	0.000	eV per atom
VASP energy	-5.66	eV per atom
formation energy (no corrections)	-0.461	eV per atom

Cell lengths 5.1845, 5.1845, 3.8916 Å; angles 90.00, 90.00, 90.00 degrees
Space group P4/mmm (No. 123)
Symmetry-distinct sites (fractional):
Sc 0.0000 0.0000 0.0000
Bi 0.5000 0.5000 0.5000
P 0.0000 0.5000 0.0000
O 0.0000 0.0000 0.5000